# GGA-PBE CsNa2Se2O6, optimized geometry
# * raw formation energy: -13.63 eV/f.u.
data_CsNa2Se2O6
_chemical_formula_sum 'Cs1 Na2 Se2 O6'
_cell_length_a 5.964
_cell_length_b 6.439
_cell_length_c 6.715
_cell_angle_alpha 81.34
_cell_angle_beta 64.83
_cell_angle_gamma 66.54
_space_group_name_H-M_alt 'P -1'
_space_group_IT_number 2
_space_group_name_Hall '-P 1'
loop_
_atom_site_label
_atom_site_type_symbol
_atom_site_fract_x
_atom_site_fract_y
_atom_site_fract_z
_atom_site_occupancy
Cs1 Cs 0.000 0.000 0.000 1
Na1 Na 0.360 0.392 0.756 1
Se1 Se 0.230 0.249 0.345 1
O1 O 0.112 0.426 0.164 1
O2 O 0.389 0.986 0.219 1
O3 O 0.468 0.324 0.357 1